1.
Material: Ac3Zn2Pd6
Method: DFT, PBE
State: relaxed

Calculated values
The space-group type is Im-3m.

a b c (Å): 8.573 8.573 8.573
angles (deg): 109.47 109.47 109.47
Fractional positions:
Ac 0.000 0.301 0.301
Ac 0.000 0.699 0.699
Ac 0.301 0.000 0.301
Ac 0.301 0.301 0.000
Ac 0.699 0.000 0.699
Ac 0.699 0.699 0.000
Zn 0.000 0.000 0.500
Zn 0.000 0.500 0.000
Zn 0.500 0.000 0.000
Zn 0.500 0.500 0.500
Pd 0.000 0.327 0.673
Pd 0.000 0.673 0.327
Pd 0.327 0.000 0.673
Pd 0.327 0.327 0.653
Pd 0.327 0.653 0.327
Pd 0.327 0.673 0.000
Pd 0.347 0.673 0.673
Pd 0.653 0.327 0.327
Pd 0.673 0.000 0.327
Pd 0.673 0.327 0.000
Pd 0.673 0.347 0.673
Pd 0.673 0.673 0.347



2.
Material: Ba2Ag2Bi3
Method: DFT, PBE
State: relaxed

Calculated values
The space-group type is C2/m.

a b c (Å): 12.169 4.932 8.202
angles (deg): 90.00 111.44 90.00
Fractional positions:
Ba 0.143 0.000 0.289
Ba 0.357 0.500 0.711
Ba 0.643 0.500 0.289
Ba 0.857 0.000 0.711
Ag 0.151 0.000 0.749
Ag 0.349 0.500 0.251
Ag 0.651 0.500 0.749
Ag 0.849 0.000 0.251
Bi 0.000 0.500 0.500
Bi 0.113 0.500 0.950
Bi 0.387 0.000 0.050
Bi 0.500 0.000 0.500
Bi 0.613 0.000 0.950
Bi 0.887 0.500 0.050



3.
Material: CdOsPb2
Method: DFT, PBE
State: relaxed

Calculated values
The space-group type is Cmmm.

a b c (Å): 7.196 7.208 3.460
angles (deg): 90.00 90.00 90.00
Fractional positions:
Cd 0.000 0.000 0.000
Cd 0.500 0.500 0.000
Os 0.000 0.500 0.000
Os 0.500 0.000 0.000
Pb 0.250 0.250 0.500
Pb 0.250 0.750 0.500
Pb 0.750 0.250 0.500
Pb 0.750 0.750 0.500



4.
Material: LiPmTcGe
Method: DFT, PBE
State: relaxed

Calculated values
The space-group type is F-43m.

a b c (Å): 6.584 6.584 6.584
angles (deg): 90.00 90.00 90.00
Fractional positions:
Li 0.000 0.000 0.000
Li 0.000 0.500 0.500
Li 0.500 0.000 0.500
Li 0.500 0.500 0.000
Pm 0.250 0.250 0.250
Pm 0.250 0.750 0.750
Pm 0.750 0.250 0.750
Pm 0.750 0.750 0.250
Tc 0.000 0.000 0.500
Tc 0.000 0.500 0.000
Tc 0.500 0.000 0.000
Tc 0.500 0.500 0.500
Ge 0.250 0.250 0.750
Ge 0.250 0.750 0.250
Ge 0.750 0.250 0.250
Ge 0.750 0.750 0.750



5.
Material: PmTmTlOs
Method: DFT, PBE
State: relaxed

Calculated values
The space-group type is F-43m.

a b c (Å): 7.215 7.215 7.215
angles (deg): 90.00 90.00 90.00
Fractional positions:
Pm 0.000 0.000 0.000
Pm 0.000 0.500 0.500
Pm 0.500 0.000 0.500
Pm 0.500 0.500 0.000
Tm 0.000 0.000 0.500
Tm 0.000 0.500 0.000
Tm 0.500 0.000 0.000
Tm 0.500 0.500 0.500
Tl 0.250 0.250 0.250
Tl 0.250 0.750 0.750
Tl 0.750 0.250 0.750
Tl 0.750 0.750 0.250
Os 0.250 0.250 0.750
Os 0.250 0.750 0.250
Os 0.750 0.250 0.250
Os 0.750 0.750 0.750



6.
Material: SnHg6Bi2
Method: DFT, PBE
State: relaxed

Calculated values
The space-group type is P-1.

a b c (Å): 3.274 6.901 12.516
angles (deg): 105.23 96.71 90.41
Fractional positions:
Sn 0.000 0.000 0.000
Hg 0.120 0.940 0.229
Hg 0.214 0.376 0.374
Hg 0.297 0.189 0.582
Hg 0.703 0.811 0.418
Hg 0.786 0.624 0.626
Hg 0.880 0.060 0.771
Bi 0.053 0.457 0.115
Bi 0.947 0.543 0.885



no.,M_tot (μB/cell),energy relative to the elements (eV per atom),density of states at the Fermi level (states/eV/f.u.)
1,0.00,-0.7387,5.71
2,0.00,-0.4517,2.65
3,0.00,0.8092,2.19
4,0.00,-0.0456,4.02
5,0.00,-0.1044,3.09
6,0.00,0.0518,4.87